(1)
CaLa3Ta | PBE | relaxed

The calculation puts the calculated formation energy at 403 meV/atom. As for the offset from the most stable computed form: 0 meV/atom. The calculation puts the magnetic moment at 0.000 μB/f.u. For the density of states at the Fermi level, the calculation gives 6.60 states/eV/cell. The value obtained for the total energy is -26.62 eV per cell.

It has space group Pm-3m (No. 221), with a = 5.7915 Å, b = 5.7915 Å, c = 5.7915 Å, α = 90.00°, β = 90.00° and γ = 90.00°. The asymmetric unit holds Ca at (0.0000, 0.0000, 0.0000), La at (0.0000, 0.5000, 0.5000) and Ta at (0.5000, 0.5000, 0.5000).

=====

(2)
Ca2LaTa | PBE | relaxed

The calculation puts the calculated formation energy at 683 meV/atom. As for the offset from the most stable computed form: 224 meV/atom. The calculation puts the magnetic moment at 0.000 μB/f.u. For the density of states at the Fermi level, the calculation gives 12.91 states/eV/cell. The value obtained for the total energy is -36.10 eV per cell.

It has space group Cmmm (No. 65), with a = 6.5862 Å, b = 10.7561 Å, c = 3.2814 Å, α = 90.00°, β = 90.00° and γ = 90.00°. The asymmetric unit holds Ca at (0.2500, 0.2500, 0.0000), La at (0.0000, 0.0000, 0.5000) and Ta at (0.0000, 0.5000, 0.5000).

=====

(3)
CaLaTa | PBE | relaxed

The calculation puts the calculated formation energy at 631 meV/atom. As for the offset from the most stable computed form: 100 meV/atom. The calculation puts the magnetic moment at 0.000 μB/f.u. For the density of states at the Fermi level, the calculation gives 5.87 states/eV/cell. The value obtained for the total energy is -33.78 eV per cell.

It has space group Imm2 (No. 44), with a = 3.2004 Å, b = 4.8736 Å, c = 10.8690 Å, α = 90.00°, β = 90.00° and γ = 90.00°. The asymmetric unit holds Ca at (0.0000, 0.0000, 0.0000), La at (0.0000, 0.0000, 0.7023) and Ta at (0.0000, 0.0000, 0.3199).

=====

(4)
Ca2LaTa | PBE | relaxed

The calculation puts the calculated formation energy at 665 meV/atom. As for the offset from the most stable computed form: 205 meV/atom. The calculation puts the magnetic moment at 1.243 μB/f.u. For the density of states at the Fermi level, the calculation gives 12.88 states/eV/cell. The value obtained for the total energy is -36.25 eV per cell.

It has space group I4/mmm (No. 139), with a = 4.7786 Å, b = 4.7786 Å, c = 10.5091 Å, α = 90.00°, β = 90.00° and γ = 90.00°. The asymmetric unit holds Ca at (0.0000, 0.5000, 0.2500), La at (0.0000, 0.0000, 0.0000) and Ta at (0.0000, 0.0000, 0.5000).

=====

(5)
CaLaTa2 | PBE | relaxed

The calculation puts the calculated formation energy at 559 meV/atom. As for the offset from the most stable computed form: 226 meV/atom. The calculation puts the magnetic moment at 0.000 μB/f.u. For the density of states at the Fermi level, the calculation gives 7.55 states/eV/cell. The value obtained for the total energy is -56.80 eV per cell.

It has space group Cm (No. 8), with a = 9.4898 Å, b = 3.0840 Å, c = 7.2630 Å, α = 90.00°, β = 92.89° and γ = 90.00°. The asymmetric unit holds Ca at (0.0000, 0.0000, 0.0000), La at (0.2382, 0.0000, 0.6580), Ta at (0.2504, 0.5000, 0.2577) and Ta at (0.4880, 0.0000, 0.4009).

=====

(6)
Ca2LaTa | PBE | relaxed

The calculation puts the calculated formation energy at 597 meV/atom. As for the offset from the most stable computed form: 137 meV/atom. The calculation puts the magnetic moment at 1.639 μB/f.u. For the density of states at the Fermi level, the calculation gives 7.42 states/eV/cell. The value obtained for the total energy is -36.79 eV per cell.

It has space group Imm2 (No. 44), with a = 3.6279 Å, b = 6.0319 Å, c = 11.8207 Å, α = 90.00°, β = 90.00° and γ = 90.00°. The asymmetric unit holds Ca at (0.0000, 0.0000, 0.0000), Ca at (0.0000, 0.5000, 0.2126), La at (0.0000, 0.5000, 0.7974) and Ta at (0.0000, 0.0000, 0.4896).

=====

(7)
Ca2LaYTa | PBE | relaxed

The calculation puts the calculated formation energy at 1095 meV/atom. The calculation puts the magnetic moment at 0.000 μB/f.u. For the density of states at the Fermi level, the calculation gives 7.76 states/eV/cell. The value obtained for the total energy is -21.77 eV per cell.

It has space group P4/mmm (No. 123), with a = 5.7008 Å, b = 5.7008 Å, c = 5.1199 Å, α = 90.00°, β = 90.00° and γ = 90.00°. The asymmetric unit holds Ca at (0.0000, 0.5000, 0.0000), La at (0.0000, 0.0000, 0.0000), Y at (0.5000, 0.5000, 0.5000) and Ta at (0.0000, 0.0000, 0.5000).

=====

(8)
CaLa3Tb8 | PBE | relaxed

The calculation puts the calculated formation energy at 620 meV/atom. The calculation puts the magnetic moment at 0.005 μB/f.u. For the density of states at the Fermi level, the calculation gives 38.49 states/eV/cell. The value obtained for the total energy is -92.78 eV per cell.

It has space group I-42m (No. 121), with a = 8.8344 Å, b = 8.8344 Å, c = 11.7663 Å, α = 90.00°, β = 90.00° and γ = 90.00°. The asymmetric unit holds Ca at (0.0000, 0.0000, 0.0000), La at (0.0000, 0.0000, 0.5000), La at (0.0000, 0.5000, 0.2500), Tb at (0.1326, 0.1326, 0.7281) and Tb at (0.2319, 0.2319, 0.4604).

=====

Look up the magnetic moment of the first one.
0.000 μB/f.u.

=====

Which value of magnetic moment does entry 3 give?
0.000 μB/f.u.

=====

Which of these has the lowest calculated formation energy?
CaLa3Ta

=====

Which of these has the highest calculated formation energy?
Ca2LaYTa